1.
Here is crystalline NiAgAs2 at its relaxed geometry from Alexandria. Energies are from PBE.

CIF file:
```
data_NiAgAs2
_space_group_name_H-M_alt 'P 4 m m'
_space_group_IT_number 99
_cell_length_a 2.9026
_cell_length_b 2.9026
_cell_length_c 8.0664
_cell_angle_alpha 90.00
_cell_angle_beta 90.00
_cell_angle_gamma 90.00
loop_
_space_group_symop_operation_xyz
'x,y,z'
'-y,x,z'
'-x,-y,z'
'y,-x,z'
'-x,y,z'
'y,x,z'
'x,-y,z'
'-y,-x,z'
loop_
_atom_site_label
_atom_site_fract_x
_atom_site_fract_y
_atom_site_fract_z
_atom_site_occupancy
Ni1 0.0000 0.0000 0.0000 1
Ag1 0.5000 0.5000 0.2415 1
As1 0.0000 0.0000 0.5021 1
As2 0.5000 0.5000 0.8424 1
```

Properties
Its energy is -17.60 eV for the cell shown.

=====

2.
Here is crystalline Rb2SbSe4 at its relaxed geometry from Alexandria. Energies are from PBE.

CIF file:
```
data_Rb2SbSe4
_space_group_name_H-M_alt 'P 1 2/m 1'
_space_group_IT_number 10
_cell_length_a 8.0576
_cell_length_b 4.0407
_cell_length_c 8.3208
_cell_angle_alpha 90.00
_cell_angle_beta 109.22
_cell_angle_gamma 90.00
loop_
_space_group_symop_operation_xyz
'x,y,z'
'-x,-y,-z'
'-x,y,-z'
'x,-y,z'
loop_
_atom_site_label
_atom_site_fract_x
_atom_site_fract_y
_atom_site_fract_z
_atom_site_occupancy
Rb1 0.2068 0.0000 0.3187 1
Sb1 0.5000 0.5000 0.0000 1
Se1 0.1079 0.5000 0.9299 1
Se2 0.4035 0.0000 0.7528 1
```

Properties
The value obtained for the energy relative to the elements, uncorrected is -0.52 eV/atom.

=====

3.
Here is crystalline PaMnGaCo at its relaxed geometry from Alexandria. Energies are from PBE.

CIF file:
```
data_PaMnGaCo
_space_group_name_H-M_alt 'F -4 3 m'
_space_group_IT_number 216
_space_group_name_Hall 'F -4 2 3'
_cell_length_a 6.2710
_cell_length_b 6.2710
_cell_length_c 6.2710
_cell_angle_alpha 90.00
_cell_angle_beta 90.00
_cell_angle_gamma 90.00
loop_
_atom_site_label
_atom_site_fract_x
_atom_site_fract_y
_atom_site_fract_z
_atom_site_occupancy
Pa1 0.0000 0.0000 0.0000 1
Mn1 0.2500 0.2500 0.7500 1
Ga1 0.0000 0.0000 0.5000 1
Co1 0.2500 0.2500 0.2500 1
```

Properties
Its energy is -117.99 eV for the cell shown.

=====

4.
Here is crystalline ZrTeAs2 at its relaxed geometry from Alexandria. Energies are from PBE.

CIF file:
```
data_ZrTeAs2
_space_group_name_H-M_alt 'P 4/m m m'
_space_group_IT_number 123
_space_group_name_Hall '-P 4 2'
_cell_length_a 4.9230
_cell_length_b 4.9230
_cell_length_c 3.5135
_cell_angle_alpha 90.00
_cell_angle_beta 90.00
_cell_angle_gamma 90.00
loop_
_atom_site_label
_atom_site_fract_x
_atom_site_fract_y
_atom_site_fract_z
_atom_site_occupancy
Zr1 0.0000 0.0000 0.0000 1
Te1 0.5000 0.5000 0.0000 1
As1 0.0000 0.5000 0.5000 1
```

Properties
The value obtained for the energy relative to the elements, uncorrected is -0.07 eV/atom.

=====

5.
Here is crystalline ZrSc2Sb at its relaxed geometry from Alexandria. Energies are from PBE.

CIF file:
```
data_ZrSc2Sb
_space_group_name_H-M_alt 'C 1 m 1'
_space_group_IT_number 8
_cell_length_a 10.7020
_cell_length_b 3.3844
_cell_length_c 5.2667
_cell_angle_alpha 90.00
_cell_angle_beta 104.35
_cell_angle_gamma 90.00
loop_
_space_group_symop_operation_xyz
'x,y,z'
'x,-y,z'
'x+1/2,y+1/2,z'
'x+1/2,-y+1/2,z'
loop_
_atom_site_label
_atom_site_fract_x
_atom_site_fract_y
_atom_site_fract_z
_atom_site_occupancy
Zr1 0.0000 0.0000 0.0000 1
Sc1 0.0234 0.5000 0.5213 1
Sc2 0.2570 0.5000 0.2365 1
Sb1 0.2636 0.0000 0.7446 1
```

Properties
The value obtained for the energy relative to the elements, uncorrected is -0.33 eV/atom.

=====

6.
Here is crystalline CrCuPb2 at its relaxed geometry from Alexandria. Energies are from PBE.

CIF file:
```
data_CrCuPb2
_space_group_name_H-M_alt 'C 1 2/m 1'
_space_group_IT_number 12
_cell_length_a 8.9351
_cell_length_b 3.4718
_cell_length_c 5.8989
_cell_angle_alpha 90.00
_cell_angle_beta 103.80
_cell_angle_gamma 90.00
loop_
_space_group_symop_operation_xyz
'x,y,z'
'-x,-y,-z'
'-x,y,-z'
'x,-y,z'
'x+1/2,y+1/2,z'
'-x+1/2,-y+1/2,-z'
'-x+1/2,y+1/2,-z'
'x+1/2,-y+1/2,z'
loop_
_atom_site_label
_atom_site_fract_x
_atom_site_fract_y
_atom_site_fract_z
_atom_site_occupancy
Cr1 0.0000 0.0000 0.0000 1
Cu1 0.0000 0.5000 0.5000 1
Pb1 0.2431 0.0000 0.7404 1
```

Properties
Its energy is -38.21 eV for the cell shown.

=====

7.
Here is crystalline NaHg4Sb2 at its relaxed geometry from Alexandria. Energies are from PBE.

CIF file:
```
data_NaHg4Sb2
_space_group_name_H-M_alt 'C m m m'
_space_group_IT_number 65
_space_group_name_Hall '-C 2 2'
_cell_length_a 4.2111
_cell_length_b 27.9167
_cell_length_c 3.2910
_cell_angle_alpha 90.00
_cell_angle_beta 90.00
_cell_angle_gamma 90.00
loop_
_atom_site_label
_atom_site_fract_x
_atom_site_fract_y
_atom_site_fract_z
_atom_site_occupancy
Na1 0.0000 0.0000 0.0000 1
Hg1 0.0000 0.1344 0.0000 1
Hg2 0.0000 0.4336 0.5000 1
Sb1 0.0000 0.2869 0.5000 1
```

Properties
The value obtained for the energy relative to the elements, uncorrected is -0.06 eV/atom.

=====

8.
Here is crystalline CuRuN at its relaxed geometry from Alexandria. Energies are from PBE.

CIF file:
```
data_CuRuN
_space_group_name_H-M_alt 'P 4/n m m'
_space_group_IT_number 129
_cell_length_a 2.6889
_cell_length_b 2.6889
_cell_length_c 9.8958
_cell_angle_alpha 90.00
_cell_angle_beta 90.00
_cell_angle_gamma 90.00
loop_
_space_group_symop_operation_xyz
'x,y,z'
'-x,-y,-z'
'-y+1/2,x,z'
'y+1/2,-x,-z'
'-x+1/2,-y+1/2,z'
'x+1/2,y+1/2,-z'
'y,-x+1/2,z'
'-y,x+1/2,-z'
'x+1/2,-y,-z'
'-x+1/2,y,z'
'-y,-x,-z'
'y,x,z'
'-x,y+1/2,-z'
'x,-y+1/2,z'
'y+1/2,x+1/2,-z'
'-y+1/2,-x+1/2,z'
loop_
_atom_site_label
_atom_site_fract_x
_atom_site_fract_y
_atom_site_fract_z
_atom_site_occupancy
Cu1 0.2500 0.2500 0.0843 1
Ru1 0.2500 0.2500 0.7125 1
N1 0.2500 0.2500 0.3649 1
```

Properties
The value obtained for the energy relative to the elements, uncorrected is 0.47 eV/atom.

=====

9.
Here is crystalline CaMnCd2 at its relaxed geometry from Alexandria. Energies are from PBE.

CIF file:
```
data_CaMnCd2
_space_group_name_H-M_alt 'I -4 2 d'
_space_group_IT_number 122
_space_group_name_Hall 'I -4 2bw'
_cell_length_a 4.5086
_cell_length_b 4.5086
_cell_length_c 20.5772
_cell_angle_alpha 90.00
_cell_angle_beta 90.00
_cell_angle_gamma 90.00
loop_
_atom_site_label
_atom_site_fract_x
_atom_site_fract_y
_atom_site_fract_z
_atom_site_occupancy
Ca1 0.0000 0.0000 0.0000 1
Mn1 0.0000 0.0000 0.5000 1
Cd1 0.2051 0.2500 0.6250 1
```

Properties
Its energy is -46.78 eV for the cell shown.

=====

10.
Here is crystalline Cd3BiPd12 at its relaxed geometry from Alexandria. Energies are from PBE.

CIF file:
```
data_Cd3BiPd12
_space_group_name_H-M_alt 'P 4/m m m'
_space_group_IT_number 123
_space_group_name_Hall '-P 4 2'
_cell_length_a 4.0684
_cell_length_b 4.0684
_cell_length_c 16.1229
_cell_angle_alpha 90.00
_cell_angle_beta 90.00
_cell_angle_gamma 90.00
loop_
_atom_site_label
_atom_site_fract_x
_atom_site_fract_y
_atom_site_fract_z
_atom_site_occupancy
Cd1 0.0000 0.0000 0.0000 1
Cd2 0.0000 0.0000 0.2457 1
Bi1 0.0000 0.0000 0.5000 1
Pd1 0.0000 0.5000 0.1227 1
Pd2 0.0000 0.5000 0.3708 1
Pd3 0.5000 0.5000 0.0000 1
Pd4 0.5000 0.5000 0.2471 1
Pd5 0.5000 0.5000 0.5000 1
```

Properties
Its energy is -72.98 eV for the cell shown.

=====

11.
Here is crystalline Tl2AgSb at its relaxed geometry from Alexandria. Energies are from PBE.

CIF file:
```
data_Tl2AgSb
_space_group_name_H-M_alt 'P 1 2/m 1'
_space_group_IT_number 10
_cell_length_a 3.4551
_cell_length_b 5.3863
_cell_length_c 5.9537
_cell_angle_alpha 90.00
_cell_angle_beta 94.10
_cell_angle_gamma 90.00
loop_
_space_group_symop_operation_xyz
'x,y,z'
'-x,-y,-z'
'-x,y,-z'
'x,-y,z'
loop_
_atom_site_label
_atom_site_fract_x
_atom_site_fract_y
_atom_site_fract_z
_atom_site_occupancy
Tl1 0.1776 0.0000 0.2540 1
Ag1 0.5000 0.5000 0.5000 1
Sb1 0.5000 0.5000 0.0000 1
```

Properties
The value obtained for the energy relative to the elements, uncorrected is 0.11 eV/atom.

=====

12.
Here is crystalline BaCdSi2 at its relaxed geometry from Alexandria. Energies are from PBE.

CIF file:
```
data_BaCdSi2
_space_group_name_H-M_alt 'C 1 2/m 1'
_space_group_IT_number 12
_cell_length_a 9.1759
_cell_length_b 3.9655
_cell_length_c 6.2745
_cell_angle_alpha 90.00
_cell_angle_beta 108.18
_cell_angle_gamma 90.00
loop_
_space_group_symop_operation_xyz
'x,y,z'
'-x,-y,-z'
'-x,y,-z'
'x,-y,z'
'x+1/2,y+1/2,z'
'-x+1/2,-y+1/2,-z'
'-x+1/2,y+1/2,-z'
'x+1/2,-y+1/2,z'
loop_
_atom_site_label
_atom_site_fract_x
_atom_site_fract_y
_atom_site_fract_z
_atom_site_occupancy
Ba1 0.0000 0.0000 0.0000 1
Cd1 0.0000 0.5000 0.5000 1
Si1 0.2463 0.0000 0.6251 1
```

Properties
The value obtained for the energy relative to the elements, uncorrected is -0.11 eV/atom.

=====

13.
Here is crystalline ReWSe at its relaxed geometry from Alexandria. Energies are from PBE.

CIF file:
```
data_ReWSe
_space_group_name_H-M_alt 'F m m 2'
_space_group_IT_number 42
_space_group_name_Hall 'F 2 -2'
_cell_length_a 3.0975
_cell_length_b 4.7297
_cell_length_c 13.9914
_cell_angle_alpha 90.00
_cell_angle_beta 90.00
_cell_angle_gamma 90.00
loop_
_atom_site_label
_atom_site_fract_x
_atom_site_fract_y
_atom_site_fract_z
_atom_site_occupancy
Re1 0.0000 0.0000 0.0000 1
W1 0.0000 0.0000 0.3556 1
Se1 0.0000 0.0000 0.6874 1
```

Properties
The value obtained for the energy relative to the elements, uncorrected is 0.65 eV/atom.